Entry 1:
# PrAl2ReO8, optimized geometry, DFT PBE
# V   12.41 Å³ per atom
# Space-group type   C2/m, No. 12
# Spin magnetization   0.0000 μB per atom
# Formation energy from raw total energies   -28.90 eV/f.u.
data_PrAl2ReO8
_chemical_formula_sum 'Pr1 Al2 Re1 O8'
_cell_length_a 4.774
_cell_length_b 4.775
_cell_length_c 6.752
_cell_angle_alpha 81.90
_cell_angle_beta 81.89
_cell_angle_gamma 79.89
_symmetry_space_group_name_H-M 'P 1'
_symmetry_Int_Tables_number 1
_symmetry_space_group_name_Hall 'P 1'
loop_
_atom_site_label
_atom_site_fract_x
_atom_site_fract_y
_atom_site_fract_z
_atom_site_occupancy
Pr1 0.000 0.000 0.500 1
O1 0.668 0.667 0.504 1
O2 0.776 0.210 0.797 1
O3 0.211 0.777 0.796 1
O4 0.254 0.256 0.932 1
O5 0.789 0.223 0.204 1
O6 0.746 0.744 0.068 1
O7 0.224 0.790 0.203 1
O8 0.332 0.333 0.496 1
Al1 0.547 0.547 0.289 1
Al2 0.453 0.453 0.711 1
Re1 0.000 0.000 0.000 1

***

Entry 2:
# Pr3Al2RhO9, optimized geometry, DFT PBE
# V   11.40 Å³ per atom
# Space-group type   P-3m1, No. 164
# Spin magnetization   0.0000 μB per atom
# Formation energy from raw total energies   -41.33 eV/f.u.
data_Pr3Al2RhO9
_chemical_formula_sum 'Pr3 Al2 Rh1 O9'
_cell_length_a 5.430
_cell_length_b 5.430
_cell_length_c 6.698
_cell_angle_alpha 90.00
_cell_angle_beta 90.00
_cell_angle_gamma 120.00
_symmetry_space_group_name_H-M 'P 1'
_symmetry_Int_Tables_number 1
_symmetry_space_group_name_Hall 'P 1'
loop_
_atom_site_label
_atom_site_fract_x
_atom_site_fract_y
_atom_site_fract_z
_atom_site_occupancy
O1 0.828 0.655 0.677 1
O2 0.828 0.172 0.677 1
O3 0.500 0.500 0.000 1
O4 0.000 0.500 0.000 1
O5 0.345 0.172 0.677 1
O6 0.172 0.345 0.323 1
O7 0.500 0.000 0.000 1
O8 0.172 0.828 0.323 1
O9 0.655 0.828 0.323 1
Al1 0.667 0.333 0.844 1
Al2 0.333 0.667 0.156 1
Rh1 0.000 0.000 0.500 1
Pr1 0.000 0.000 0.000 1
Pr2 0.333 0.667 0.663 1
Pr3 0.667 0.333 0.337 1

***

Entry 3:
# PrAlRuO6, optimized geometry, DFT PBE
# V   12.76 Å³ per atom
# Space-group type   P4_2nm, No. 102
# Spin magnetization   0.0000 μB per atom
# DOS(E_F)   0.6 states/eV/cell
# Formation energy from raw total energies   -17.30 eV/f.u.
data_PrAlRuO6
_chemical_formula_sum 'Pr2 Al2 Ru2 O12'
_cell_length_a 4.886
_cell_length_b 4.886
_cell_length_c 9.618
_cell_angle_alpha 90.00
_cell_angle_beta 90.00
_cell_angle_gamma 90.00
_symmetry_space_group_name_H-M 'P 1'
_symmetry_Int_Tables_number 1
_symmetry_space_group_name_Hall 'P 1'
loop_
_atom_site_label
_atom_site_fract_x
_atom_site_fract_y
_atom_site_fract_z
_atom_site_occupancy
O1 0.757 0.243 0.194 1
O2 0.743 0.743 0.694 1
O3 0.739 0.739 0.313 1
O4 0.761 0.239 0.813 1
O5 0.261 0.261 0.313 1
O6 0.239 0.761 0.813 1
O7 0.171 0.829 0.502 1
O8 0.671 0.671 0.002 1
O9 0.829 0.171 0.502 1
O10 0.243 0.757 0.194 1
O11 0.257 0.257 0.694 1
O12 0.329 0.329 0.002 1
Pr1 0.500 0.500 0.478 1
Pr2 0.000 0.000 0.978 1
Al1 0.000 0.000 0.345 1
Al2 0.500 0.500 0.845 1
Ru1 0.500 0.500 0.158 1
Ru2 0.000 0.000 0.658 1